Compound: BaMo2As
Source: Alexandria
Functional: GGA-PBE
Structure: optimized geometry

Geometry as CIF:
```
data_BaMo2As
_chemical_formula_sum 'Ba1 Mo2 As1'
_symmetry_space_group_name_H-M 'P 1'
_symmetry_Int_Tables_number 1
_symmetry_space_group_name_Hall 'P 1'
_cell_length_a 3.349
_cell_length_b 3.349
_cell_length_c 7.799
_cell_angle_alpha 90.00
_cell_angle_beta 90.00
_cell_angle_gamma 90.00
loop_
_atom_site_label
_atom_site_type_symbol
_atom_site_fract_x
_atom_site_fract_y
_atom_site_fract_z
As1 As 0.000 0.000 0.427
Mo1 Mo 0.000 0.000 0.082
Mo2 Mo 0.500 0.500 0.244
Ba1 Ba 0.500 0.500 0.747
```

Properties
DOS at the Fermi energy: 2.84 states/eV per cell
raw total energy: -27.52 eV/cell
ΔH_f (0 K): 4.130 kcal/mol of atoms